Material: LiVF4
Method: DFT, GGA+U
State: relaxed

**E above lowest polymorph**: 0.017 eV/atom
**Space group**: Pbcn, No. 60
**D(E_F)**: 0.00 states/eV per atom
**Calculated volume**: 11.03 Å³/atom

Cell lengths 4.584, 4.954, 11.660 Å; angles 90.00, 90.00, 90.00 degrees
Each line ends with the local moment (μB).
Atoms (fractional coordinates):
F1 0.270 0.419 0.692  0.00
F2 0.249 0.914 0.068  0.00
F3 0.749 0.586 0.568  0.00
F4 0.749 0.086 0.432  0.00
F5 0.270 0.919 0.308  0.00
F6 0.249 0.414 0.932  0.00
F7 0.770 0.581 0.808  0.00
F8 0.251 0.914 0.568  0.00
F9 0.230 0.419 0.192  0.00
F10 0.751 0.086 0.932  0.00
F11 0.230 0.919 0.808  0.00
F12 0.770 0.081 0.192  0.00
F13 0.751 0.586 0.068  0.00
F14 0.730 0.581 0.308  0.00
F15 0.730 0.081 0.692  0.00
F16 0.251 0.414 0.432  0.00
V1 0.500 0.750 0.179  1.91
V2 0.000 0.250 0.321  1.91
V3 0.000 0.750 0.679  1.91
V4 0.500 0.250 0.821  1.91
Li1 0.000 0.250 0.054  0.00
Li2 0.500 0.750 0.446  0.00
Li3 0.500 0.250 0.554  0.00
Li4 0.000 0.750 0.946  0.00